Entry from Alexandria via LeMat-Bulk: crystalline AlNiHgF6 at its relaxed geometry (PBE+U).

Properties
D(E_F), states/eV per atom: 0.3105
Total energy, eV per atom: -4.32
Size of the total moment, μB/cell: 3.0

Cell: 5.051 5.051 9.483 Å, 90.00 90.00 90.00°
Fractional positions:
Al 0.000 0.000 0.000
Al 0.500 0.500 0.500
Ni 0.000 0.000 0.658
Ni 0.500 0.500 0.158
Hg 0.000 0.000 0.335
Hg 0.500 0.500 0.835
F 0.159 0.159 0.842
F 0.215 0.215 0.117
F 0.248 0.248 0.529
F 0.252 0.748 0.029
F 0.285 0.715 0.617
F 0.341 0.659 0.342
F 0.659 0.341 0.342
F 0.715 0.285 0.617
F 0.748 0.252 0.029
F 0.752 0.752 0.529
F 0.785 0.785 0.117
F 0.841 0.841 0.842